BeInCl2 | PBE | optimized geometry

Properties
- V (Å³ per atom) = 24.731
- formation energy (no corrections) (eV per atom) = -0.56
- calculated total energy (eV/atom) = -3.10
- theoretical density (Mg/m³) = 3.27

a b c (Å): 11.6566 3.1642 5.7866
angles (deg): 90.00 112.03 90.00
Space group Cm (No. 8)
Symmetry-distinct sites (fractional):
Be (0.0000, 0.0000, 0.0000) (multiplicity 2)
In (0.2986, 0.0000, 0.5888) (multiplicity 2)
Cl (0.1009, 0.5000, 0.9035) (multiplicity 2)
Cl (0.4406, 0.0000, 0.1905) (multiplicity 2)